(1)
Material: MgOsPt2
Method: DFT, PBE
State: optimized geometry

a = 2.7667 Å, b = 4.6824 Å, c = 9.8193 Å
α = 90.00°, β = 90.00°, γ = 90.00°
Fractional positions:
Mg (0.0000, 0.0000, 0.0000)
Mg (0.5000, 0.5000, 0.5000)
Os (0.0000, 0.5000, 0.7657)
Os (0.5000, 0.0000, 0.2657)
Pt (0.0000, 0.0000, 0.4939)
Pt (0.0000, 0.5000, 0.2414)
Pt (0.5000, 0.0000, 0.7414)
Pt (0.5000, 0.5000, 0.9939)

Calculated values
energy of formation: -0.0865 eV/atom
uncorrected energy: -6.313 eV/atom
total magnetization: 0.0 μB per formula unit



(2)
Material: Mg2OsPt
Method: DFT, PBE
State: optimized geometry

a = 3.3166 Å, b = 3.3166 Å, c = 5.9872 Å
α = 90.00°, β = 90.00°, γ = 90.00°
Fractional positions:
Mg (0.0000, 0.0000, 0.0000)
Mg (0.5000, 0.5000, 0.2909)
Os (0.0000, 0.0000, 0.5310)
Pt (0.5000, 0.5000, 0.7639)

Calculated values
energy of formation: 0.0482 eV/atom
uncorrected energy: -5.067 eV/atom
total magnetization: 0.0 μB per formula unit



(3)
Material: MgOsPt
Method: DFT, PBE
State: optimized geometry

a = 2.7582 Å, b = 2.7582 Å, c = 12.2460 Å
α = 90.00°, β = 90.00°, γ = 90.00°
Fractional positions:
Mg (0.0000, 0.0000, 0.0000)
Mg (0.5000, 0.5000, 0.5000)
Os (0.0000, 0.0000, 0.6727)
Os (0.5000, 0.5000, 0.1727)
Pt (0.0000, 0.0000, 0.3288)
Pt (0.5000, 0.5000, 0.8288)

Calculated values
energy above the most stable polymorph in this dataset: 0.000 eV per formula unit
energy of formation: -0.0926 eV/atom
uncorrected energy: -6.381 eV/atom
total magnetization: 0.0 μB per formula unit



(4)
Material: MgOsPt2
Method: DFT, PBE
State: optimized geometry

a = 6.2950 Å, b = 6.2950 Å, c = 6.2950 Å
α = 90.00°, β = 90.00°, γ = 90.00°
Fractional positions:
Mg (0.0000, 0.0000, 0.0000)
Mg (0.0000, 0.5000, 0.5000)
Mg (0.5000, 0.0000, 0.5000)
Mg (0.5000, 0.5000, 0.0000)
Os (0.2500, 0.2500, 0.2500)
Os (0.2500, 0.7500, 0.7500)
Os (0.7500, 0.2500, 0.7500)
Os (0.7500, 0.7500, 0.2500)
Pt (0.0000, 0.0000, 0.5000)
Pt (0.0000, 0.5000, 0.0000)
Pt (0.2500, 0.2500, 0.7500)
Pt (0.2500, 0.7500, 0.2500)
Pt (0.5000, 0.0000, 0.0000)
Pt (0.5000, 0.5000, 0.5000)
Pt (0.7500, 0.2500, 0.2500)
Pt (0.7500, 0.7500, 0.7500)

Calculated values
energy of formation: 0.0948 eV/atom
uncorrected energy: -6.132 eV/atom
total magnetization: 1.8 μB per formula unit



(5)
Material: MgOsPt
Method: DFT, PBE
State: optimized geometry

a = 2.7193 Å, b = 4.0701 Å, c = 8.3585 Å
α = 90.00°, β = 90.00°, γ = 90.00°
Fractional positions:
Mg (0.0000, 0.0000, 0.0000)
Mg (0.5000, 0.5000, 0.5000)
Os (0.0000, 0.0000, 0.6665)
Os (0.5000, 0.5000, 0.1665)
Pt (0.0000, 0.0000, 0.3344)
Pt (0.5000, 0.5000, 0.8344)

Calculated values
energy above the most stable polymorph in this dataset: 0.506 eV per formula unit
energy of formation: 0.0762 eV/atom
uncorrected energy: -6.212 eV/atom
total magnetization: 0.0 μB per formula unit



(6)
Material: MgOsPt2
Method: DFT, PBE
State: optimized geometry

a = 3.9121 Å, b = 3.9121 Å, c = 17.8021 Å
α = 90.00°, β = 90.00°, γ = 90.00°
Fractional positions:
Mg (0.0000, 0.0000, 0.0000)
Mg (0.0000, 0.5000, 0.2500)
Mg (0.5000, 0.0000, 0.7500)
Mg (0.5000, 0.5000, 0.5000)
Os (0.0000, 0.0000, 0.5000)
Os (0.0000, 0.5000, 0.7500)
Os (0.5000, 0.0000, 0.2500)
Os (0.5000, 0.5000, 0.0000)
Pt (0.2431, 0.2500, 0.6250)
Pt (0.2500, 0.7431, 0.8750)
Pt (0.2500, 0.7569, 0.3750)
Pt (0.2569, 0.2500, 0.1250)
Pt (0.7431, 0.7500, 0.1250)
Pt (0.7500, 0.2431, 0.3750)
Pt (0.7500, 0.2569, 0.8750)
Pt (0.7569, 0.7500, 0.6250)

Calculated values
energy of formation: 0.3040 eV/atom
uncorrected energy: -5.923 eV/atom
total magnetization: 0.3 μB per formula unit



(7)
Material: Mg2OsPt
Method: DFT, PBE
State: optimized geometry

a = 2.7661 Å, b = 3.9108 Å, c = 5.8420 Å
α = 90.00°, β = 90.00°, γ = 90.00°
Fractional positions:
Mg (0.0000, 0.0000, 0.2485)
Mg (0.0000, 0.0000, 0.7515)
Os (0.5000, 0.5000, 0.0000)
Pt (0.5000, 0.5000, 0.5000)

Calculated values
energy of formation: -0.1735 eV/atom
uncorrected energy: -5.288 eV/atom
total magnetization: 0.0 μB per formula unit



(8)
Material: Mg2OsPt
Method: DFT, PBE
State: optimized geometry

a = 2.7475 Å, b = 4.2176 Å, c = 5.5147 Å
α = 90.00°, β = 90.00°, γ = 90.00°
Fractional positions:
Mg (0.0000, 0.0000, 0.0000)
Mg (0.5000, 0.5000, 0.2869)
Os (0.0000, 0.0000, 0.5086)
Pt (0.5000, 0.5000, 0.7758)

Calculated values
energy of formation: -0.0713 eV/atom
uncorrected energy: -5.186 eV/atom
total magnetization: 0.0 μB per formula unit



(9)
Material: MgOsPt2
Method: DFT, PBE
State: optimized geometry

a = 2.8056 Å, b = 2.8056 Å, c = 26.9231 Å
α = 90.00°, β = 90.00°, γ = 120.00°
Fractional positions:
Mg (0.0000, 0.0000, 0.0000)
Mg (0.3333, 0.6667, 0.6667)
Mg (0.6667, 0.3333, 0.3333)
Os (0.0000, 0.0000, 0.5000)
Os (0.3333, 0.6667, 0.1667)
Os (0.6667, 0.3333, 0.8333)
Pt (0.0000, 0.0000, 0.2502)
Pt (0.0000, 0.0000, 0.7498)
Pt (0.3333, 0.6667, 0.4165)
Pt (0.3333, 0.6667, 0.9168)
Pt (0.6667, 0.3333, 0.0832)
Pt (0.6667, 0.3333, 0.5835)

Calculated values
energy of formation: -0.1765 eV/atom
uncorrected energy: -6.403 eV/atom
total magnetization: 0.0 μB per formula unit



(10)
Material: Mg3OsPt
Method: DFT, PBE
State: optimized geometry

a = 4.8145 Å, b = 4.8145 Å, c = 4.8145 Å
α = 90.00°, β = 90.00°, γ = 90.00°
Fractional positions:
Mg (0.0000, 0.0000, 0.5000)
Mg (0.0000, 0.5000, 0.0000)
Mg (0.5000, 0.0000, 0.0000)
Os (0.5000, 0.5000, 0.5000)
Pt (0.0000, 0.0000, 0.0000)

Calculated values
energy above the most stable polymorph in this dataset: 0.000 eV per formula unit
energy of formation: 0.7028 eV/atom
uncorrected energy: -3.708 eV/atom
total magnetization: 1.6 μB per formula unit



(11)
Material: Mg2OsPt
Method: DFT, PBE
State: optimized geometry

a = 7.1974 Å, b = 7.1974 Å, c = 5.4385 Å
α = 90.00°, β = 90.00°, γ = 90.00°
Fractional positions:
Mg (0.2380, 0.7500, 0.1250)
Mg (0.2500, 0.2380, 0.8750)
Mg (0.2500, 0.2620, 0.3750)
Mg (0.2620, 0.7500, 0.6250)
Mg (0.7380, 0.2500, 0.6250)
Mg (0.7500, 0.7380, 0.3750)
Mg (0.7500, 0.7620, 0.8750)
Mg (0.7620, 0.2500, 0.1250)
Os (0.0000, 0.0000, 0.5000)
Os (0.0000, 0.5000, 0.7500)
Os (0.5000, 0.0000, 0.2500)
Os (0.5000, 0.5000, 0.0000)
Pt (0.0000, 0.0000, 0.0000)
Pt (0.0000, 0.5000, 0.2500)
Pt (0.5000, 0.0000, 0.7500)
Pt (0.5000, 0.5000, 0.5000)

Calculated values
energy of formation: 0.3621 eV/atom
uncorrected energy: -4.753 eV/atom
total magnetization: 1.5 μB per formula unit



(12)
Material: MgOsPt2
Method: DFT, PBE
State: optimized geometry

a = 9.1474 Å, b = 2.7659 Å, c = 4.9369 Å
α = 90.00°, β = 98.77°, γ = 90.00°
Fractional positions:
Mg (0.0000, 0.0000, 0.0000)
Mg (0.5000, 0.5000, 0.0000)
Os (0.0000, 0.5000, 0.5000)
Os (0.5000, 0.0000, 0.5000)
Pt (0.2458, 0.0000, 0.7425)
Pt (0.2542, 0.5000, 0.2575)
Pt (0.7458, 0.5000, 0.7425)
Pt (0.7542, 0.0000, 0.2575)

Calculated values
energy of formation: -0.0994 eV/atom
uncorrected energy: -6.326 eV/atom
total magnetization: 0.0 μB per formula unit



Which of these has the lowest uncorrected energy?
number 9



Number 5 is which compound?
MgOsPt



What is the formula in the fifth record?
MgOsPt



Copy entry 8 word for word.
Material: Mg2OsPt
Method: DFT, PBE
State: optimized geometry

a = 2.7475 Å, b = 4.2176 Å, c = 5.5147 Å
α = 90.00°, β = 90.00°, γ = 90.00°
Fractional positions:
Mg (0.0000, 0.0000, 0.0000)
Mg (0.5000, 0.5000, 0.2869)
Os (0.0000, 0.0000, 0.5086)
Pt (0.5000, 0.5000, 0.7758)

Calculated values
energy of formation: -0.0713 eV/atom
uncorrected energy: -5.186 eV/atom
total magnetization: 0.0 μB per formula unit